# PBEsol Sb2PRu, optimized geometry
# Magnetization, μB per cell: 0.0
# Raw formation energy, kJ/mol of formula units: 163.8
data_Sb2PRu
_space_group_name_H-M_alt 'I 4/m m m'
_space_group_IT_number 139
_space_group_name_Hall '-I 4 2'
_cell_length_a 4.428
_cell_length_b 4.428
_cell_length_c 7.464
_cell_angle_alpha 90.00
_cell_angle_beta 90.00
_cell_angle_gamma 90.00
loop_
_atom_site_label
_atom_site_type_symbol
_atom_site_fract_x
_atom_site_fract_y
_atom_site_fract_z
Sb1 Sb 0.000 0.500 0.250
P1 P 0.000 0.000 0.000
Ru1 Ru 0.000 0.000 0.500